## BaIn4Sn (PBE)

Data for a relaxed BaIn4Sn crystal.

Results
Space group ... F-43m (216)
Theoretical density ... 6.47 g cm⁻³
DFT formation energy ... -0.97 eV/f.u.
Energy ... -2.98 eV/atom

```
BaIn4Sn
1.0
0.0000 4.5098 4.5098
4.5098 0.0000 4.5098
4.5098 4.5098 0.0000
Ba In Sn
1 4 1
Cartesian
0.0000 0.0000 0.0000
3.3886 3.3886 3.3886
5.6310 5.6310 3.3886
5.6310 3.3886 5.6310
3.3886 5.6310 5.6310
6.7647 6.7647 6.7647
```